# 1
Cr3Ir | GGA-PBE | relaxed

The value obtained for the mass density is 11.52 g/cm3. For the total energy, the calculation gives -9.410 eV per atom. The energy relative to the elements comes out at 0.0230 eV/atom. For the size of the total moment, the calculation gives 0.000 μB/atom.

Unit cell a=7.845 b=7.845 c=7.845 alpha=152.84 beta=152.84 gamma=38.78
Element x y z (fractional)
Cr 0.500 0.000 0.500
Cr 0.119 0.119 0.000
Cr 0.881 0.881 0.000
Cr 0.750 0.250 0.500
Cr 0.250 0.750 0.500
Cr 0.000 0.500 0.500
Ir 0.374 0.374 0.000
Ir 0.626 0.626 0.000

=====

# 2
GeAs2SeF | GGA-PBE | relaxed

The value obtained for the mass density is 5.25 g/cm3. Its offset from the most stable computed form is 0 meV per atom. For the total energy, the calculation gives -3.575 eV per atom. For the size of the total moment, the calculation gives 0.000 μB/atom.

Unit cell a=4.376 b=4.376 c=5.289 alpha=90.00 beta=90.00 gamma=90.00
Element x y z (fractional)
As 0.000 0.500 0.000
As 0.500 0.000 0.000
Ge 0.500 0.500 0.500
Se 0.000 0.000 0.500
F 0.000 0.000 0.000

=====

- mass density of number 1 (Cr3Ir)?
  11.52 g/cm3

=====

- Among the records above, which one has the highest mass density?
  Cr3Ir

=====

- Which value of mass density does entry 1 give?
  11.52 g/cm3